Record 1
Compound: ReSiW2
Source: Alexandria
Functional: PBE
Structure: relaxed

Lattice parameters (Å, degrees): 2.8423 4.0737 5.1997 90.00 90.00 90.00
Fractional positions:
Re  0.0000  0.0000  0.0000
Si  0.0000  0.0000  0.5000
W  0.5000  0.5000  0.2554
W  0.5000  0.5000  0.7446

Properties
Energy relative to the elements, uncorrected: 0.230 eV/f.u.
Space-group type: Pmmm (47)
Electronic total energy: -10.8869 eV/atom
DOS(E_F): 2.36 states/eV per cell

Record 2
Compound: As2PRh
Source: Alexandria
Functional: PBE
Structure: relaxed

Lattice parameters (Å, degrees): 4.5490 4.5490 3.2313 90.00 90.00 104.81
Fractional positions:
As  0.0000  0.5000  0.0000
As  0.5000  0.0000  0.0000
P  0.0000  0.0000  0.5000
Rh  0.5000  0.5000  0.5000

Properties
Space-group type: Cmmm (65)
Electronic total energy: -5.2738 eV/atom
DOS(E_F): 1.59 states/eV per cell
Energy relative to the elements: 0.97 eV per formula unit

Record 3
Compound: DyY2Er4Sc
Source: Alexandria
Functional: PBE
Structure: relaxed

Lattice parameters (Å, degrees): 4.9430 4.9430 9.9048 90.00 90.00 90.00
Fractional positions:
Dy  0.0000  0.0000  0.0000
Y  0.0000  0.0000  0.5000
Y  0.5000  0.5000  0.0000
Er  0.0000  0.5000  0.2545
Er  0.0000  0.5000  0.7455
Er  0.5000  0.0000  0.2545
Er  0.5000  0.0000  0.7455
Sc  0.5000  0.5000  0.5000

Properties
Space-group type: P4/mmm (123)
Electronic total energy: -5.2266 eV/atom
DOS(E_F): 12.24 states/eV per cell
Energy relative to the elements: 0.30 eV per formula unit

Record 4
Compound: NaHg2Au
Source: Alexandria
Functional: PBE
Structure: relaxed

Lattice parameters (Å, degrees): 5.7039 5.7039 5.7039 50.58 50.58 50.58
Fractional positions:
Na  0.0000  0.0000  0.0000
Hg  0.5694  0.5694  0.5694
Hg  0.7826  0.7826  0.7826
Au  0.2004  0.2004  0.2004

Properties
Space-group type: R3m (160)
Electronic total energy: -1.4709 eV/atom
DOS(E_F): 1.67 states/eV per cell
Energy relative to the elements: -0.68 eV per formula unit

Record 5
Compound: KRe2Ru
Source: Alexandria
Functional: PBE
Structure: relaxed

Lattice parameters (Å, degrees): 10.5227 10.5227 10.5227 15.26 15.26 15.26
Fractional positions:
K  0.0000  0.0000  0.0000
Re  0.2350  0.2350  0.2350
Re  0.7650  0.7650  0.7650
Ru  0.5000  0.5000  0.5000

Properties
Space-group type: R-3m (166)
Electronic total energy: -8.0435 eV/atom
Offset from the most stable computed form: 0.069 eV per atom
DOS(E_F): 6.12 states/eV per cell
Energy relative to the elements: 3.10 eV per formula unit

Record 6
Compound: BaSbPt2
Source: Alexandria
Functional: PBE
Structure: relaxed

Lattice parameters (Å, degrees): 4.9935 4.9935 5.9178 105.92 105.92 50.03
Fractional positions:
Ba  0.0000  0.0000  0.0000
Sb  0.7838  0.7838  0.4102
Pt  0.2035  0.2035  0.6112
Pt  0.4998  0.4998  0.5441

Properties
Energy relative to the elements, uncorrected: -2.737 eV/f.u.
Space-group type: Cm (8)
Electronic total energy: -5.2160 eV/atom
DOS(E_F): 0.76 states/eV per cell

Record 7
Compound: Hf4AsSe5
Source: Alexandria
Functional: PBE
Structure: relaxed

Lattice parameters (Å, degrees): 8.4435 8.4435 7.6809 101.43 101.43 25.73
Fractional positions:
Hf  0.0019  0.0019  0.2399
Hf  0.3349  0.3349  0.9221
Hf  0.6651  0.6651  0.0779
Hf  0.9981  0.9981  0.7601
As  0.5000  0.5000  0.0000
Se  0.1661  0.1661  0.3269
Se  0.1689  0.1689  0.8193
Se  0.5000  0.5000  0.5000
Se  0.8311  0.8311  0.1807
Se  0.8339  0.8339  0.6731

Properties
Energy relative to the elements, uncorrected: -12.027 eV/f.u.
Space-group type: C2/m (12)
Electronic total energy: -7.3912 eV/atom
DOS(E_F): 4.19 states/eV per cell

Record 8
Compound: LaFeOs2
Source: Alexandria
Functional: PBE
Structure: relaxed

Lattice parameters (Å, degrees): 5.0648 5.0648 2.9031 90.00 90.00 111.66
Fractional positions:
La  0.0000  0.0000  0.0000
Fe  0.5000  0.5000  0.0000
Os  0.0000  0.5000  0.5000
Os  0.5000  0.0000  0.5000

Properties
Space-group type: Cmmm (65)
Electronic total energy: -8.2005 eV/atom
Offset from the most stable computed form: 0.689 eV per atom
DOS(E_F): 5.34 states/eV per cell
Energy relative to the elements: 3.05 eV per formula unit